# NaSb2Ir2

A relaxed structure of NaSb2Ir2 (GGA-PBE, Alexandria via LeMat-Bulk). Values from VASP.

Geometry as Quantum ESPRESSO input:
```
&SYSTEM
  ibrav = 0, nat = 5, ntyp = 3
/
ATOMIC_SPECIES
Sb 121.76 Sb.upf
Ir 192.22 Ir.upf
Na 22.99 Na.upf
CELL_PARAMETERS angstrom
-4.2745 1.7643 -1.0106
-1.0197 0.1754 4.6189
-0.7907 5.6014 2.0381
ATOMIC_POSITIONS angstrom
Sb -3.8561 4.1678 1.4158
Sb -2.2288 3.3733 4.2306
Ir -2.1648 2.1731 1.8649
Ir -3.9201 5.3679 3.7815
Na 0.0000 0.0000 0.0000
```

Computed properties:
- Total magnetic moment: 0.0 Bohr magnetons per cell
- Distance to the lowest polymorph of the same formula: 153 meV per atom
- Uncorrected energy: -27.5 eV per cell
- Formation energy from raw total energies: -0.0433 eV per atom
- Space-group type: No. 139